(1)
Below is a geometry-optimized La4Dy3ScS8 structure, with properties calculated at the GGA-PBE level.

Total energy (eV/atom): -6.61
Theoretical density (g/cm³): 6.14

Lattice parameters (Å, degrees): 7.9410 8.0855 7.9409 119.41 120.00 90.00
Closest atoms and distances in Å follow each position.
Element x y z (fractional)
S: 0.2375 0.7241 0.4749  1 Sc 2.69, 2 Dy 2.76, 3 La 2.92-2.98
S: 0.7491 0.7241 0.9866  1 Sc 2.69, 2 Dy 2.76, 3 La 2.92-2.98
S: 0.2509 0.2759 0.0134  1 Sc 2.69, 2 Dy 2.76, 3 La 2.92-2.98
S: 0.7430 0.7290 0.4860  3 Dy 2.75, 3 La 2.92
S: 0.2375 0.7241 0.9866  1 Sc 2.69, 2 Dy 2.76, 3 La 2.92-2.98
S: 0.2570 0.2710 0.5140  3 Dy 2.75, 3 La 2.92
S: 0.7625 0.2759 0.5251  1 Sc 2.69, 2 Dy 2.76, 3 La 2.92-2.98
S: 0.7625 0.2759 0.0134  1 Sc 2.69, 2 Dy 2.76, 3 La 2.92-2.98
Dy: 0.5000 0.5000 0.5000  6 S 2.75-2.76
Dy: 0.5000 0.5000 0.0000  6 S 2.75-2.76
Dy: 0.0000 0.5000 0.5000  6 S 2.75-2.76
La: 0.5000 0.0000 0.0000  6 S 2.98
La: 0.5000 0.0000 0.5000  6 S 2.92
La: 0.0000 0.0000 0.5000  6 S 2.92
La: 0.0000 0.0000 0.0000  6 S 2.92
Sc: 0.0000 0.5000 0.0000  6 S 2.69

---

(2)
Below is a geometry-optimized LaDy2ScS6 structure, with properties calculated at the GGA-PBE level.

Total energy (eV/atom): -6.54
Theoretical density (g/cm³): 4.58

Lattice parameters (Å, degrees): 6.9179 6.9178 7.3154 61.77 61.78 60.00
Closest atoms and distances in Å follow each position.
Element x y z (fractional)
S: 0.5965 0.2218 0.2463  1 Sc 2.62, 2 Dy 2.73-2.78
S: 0.1416 0.3915 0.7544  1 Sc 2.64, 2 Dy 2.69-2.78, 1 La 2.82
S: 0.7126 0.1416 0.7544  1 Sc 2.64, 2 Dy 2.69-2.78, 1 La 2.82
S: 0.2218 0.9354 0.2462  1 Sc 2.62, 2 Dy 2.73-2.78
S: 0.9354 0.5965 0.2463  1 Sc 2.62, 2 Dy 2.73-2.78
S: 0.3914 0.7126 0.7543  1 Sc 2.64, 2 Dy 2.69-2.78, 1 La 2.82
La: 0.8075 0.8074 0.5776  6 S 2.82-2.97
Dy: 0.5213 0.5213 0.4361  6 S 2.73-2.78
Dy: 0.0129 0.0130 0.9610  6 S 2.69-2.78
Sc: 0.3205 0.3204 0.0386  6 S 2.62-2.64

---

(3)
Below is a geometry-optimized LaDySc2S4 structure, with properties calculated at the GGA-PBE level.

Total energy (eV/atom): -6.71
Theoretical density (g/cm³): 5.15

Lattice parameters (Å, degrees): 5.5157 5.5157 6.7464 114.13 114.13 90.00
Closest atoms and distances in Å follow each position.
Element x y z (fractional)
S: 0.9373 0.4370 0.0000  2 Sc 2.75, 2 Dy 2.76, 2 La 2.76
S: 0.1936 0.1936 0.5129  1 Dy 2.68, 4 Sc 2.76, 1 La 2.82
S: 0.6807 0.6807 0.4871  1 Dy 2.68, 4 Sc 2.76, 1 La 2.82
S: 0.4370 0.9373 0.0000  2 Sc 2.75, 2 Dy 2.76, 2 La 2.76
La: 0.9371 0.9371 0.0000  6 S 2.76-2.82
Dy: 0.4373 0.4373 0.0000  6 S 2.68-2.76
Sc: 0.6872 0.1872 0.5000  6 S 2.75-2.76
Sc: 0.1872 0.6872 0.5000  6 S 2.75-2.76

---

(4)
Below is a geometry-optimized LaDy2ScS4 structure, with properties calculated at the GGA-PBE level.

Total energy (eV/atom): -6.58
Theoretical density (g/cm³): 6.17

Lattice parameters (Å, degrees): 3.8890 6.8607 6.7961 108.97 90.00 90.00
Closest atoms and distances in Å follow each position.
Element x y z (fractional)
S: 0.0000 0.7679 0.2579  3 Dy 2.71-2.84, 1 Sc 2.72, 2 La 2.85
S: 0.5000 0.7659 0.7539  3 Dy 2.71-2.84, 2 Sc 2.72, 1 La 2.85
S: 0.0000 0.2321 0.7421  3 Dy 2.71-2.84, 1 Sc 2.72, 2 La 2.85
S: 0.5000 0.2341 0.2461  3 Dy 2.71-2.84, 2 Sc 2.72, 1 La 2.85
Dy: 0.0000 0.5000 0.5000  6 S 2.84
Dy: 0.5000 0.0000 0.5000  6 S 2.71
Sc: 0.0000 0.0000 0.0000  6 S 2.72
La: 0.5000 0.5000 0.0000  6 S 2.85

---

(5)
Below is a geometry-optimized La2DyScS4 structure, with properties calculated at the GGA-PBE level.

Total energy (eV/atom): -6.69
Theoretical density (g/cm³): 5.72

Lattice parameters (Å, degrees): 3.9161 6.8215 7.0420 108.67 90.00 90.00
Closest atoms and distances in Å follow each position.
Element x y z (fractional)
S: 0.0000 0.2510 0.7758  1 Sc 2.68, 2 Dy 2.74, 3 La 2.90-2.96
S: 0.0000 0.7490 0.2242  1 Sc 2.68, 2 Dy 2.74, 3 La 2.90-2.96
S: 0.5000 0.2319 0.2194  2 Sc 2.68, 1 Dy 2.75, 3 La 2.90-2.96
S: 0.5000 0.7681 0.7806  2 Sc 2.68, 1 Dy 2.75, 3 La 2.90-2.96
La: 0.5000 0.0000 0.5000  6 S 2.90
La: 0.0000 0.5000 0.5000  6 S 2.96
Dy: 0.5000 0.5000 0.0000  6 S 2.74-2.75
Sc: 0.0000 0.0000 0.0000  6 S 2.68

---

(6)
Below is a geometry-optimized LaDySe2S structure, with properties calculated at the GGA-PBE level.

Total energy (eV/atom): -6.18
Theoretical density (g/cm³): 6.13

Lattice parameters (Å, degrees): 4.1186 6.9607 9.7228 90.00 90.00 107.21
Closest atoms and distances in Å follow each position.
Element x y z (fractional)
La: 0.7362 0.4725 0.2500  2 S 2.86, 4 Se 3.18
La: 0.2638 0.5275 0.7500  2 S 2.86, 4 Se 3.18
Se: 0.6436 0.2872 0.5633  2 Dy 2.88, 2 La 3.18
Se: 0.6436 0.2872 0.9367  2 Dy 2.88, 2 La 3.18
Se: 0.3564 0.7128 0.4367  2 Dy 2.88, 2 La 3.18
Se: 0.3564 0.7128 0.0633  2 Dy 2.88, 2 La 3.18
Dy: 0.0000 0.0000 0.5000  2 S 2.69, 4 Se 2.88
Dy: 0.0000 0.0000 0.0000  2 S 2.69, 4 Se 2.88
S: 0.9125 0.8250 0.7500  2 Dy 2.69, 2 La 2.86
S: 0.0875 0.1750 0.2500  2 Dy 2.69, 2 La 2.86

---

Question: total energy of number 1 (La4Dy3ScS8)?
Answer: -6.61 eV/atom